Record 1
Here is a relaxed TiNbCu crystal from the Alexandria database. Energies are from PBE.

SG: Imm2, No. 44
Energy above the most stable polymorph in this dataset (meV per atom): 140
Calculated volume (A^3/atom): 15.937
Total moment (μB per cell): 0.000
Fermi-level density of states (states/eV/f.u.): 3.0

Cell: 2.948 3.431 9.455 Å, 90.00 90.00 90.00°
Fractional positions:
Ti 0.000 0.000 0.000
Ti 0.500 0.500 0.500
Nb 0.000 0.000 0.319
Nb 0.500 0.500 0.819
Cu 0.000 0.000 0.651
Cu 0.500 0.500 0.151

Record 2
Here is a relaxed Ti5Ge2H2 crystal from the Alexandria database. Energies are from PBE.

Electronic total energy (eV/atom): -6.61
SG: C2/m, No. 12
Calculated volume (A^3/atom): 13.120
Total moment (μB per cell): 0.418
Fermi-level density of states (states/eV/f.u.): 6.1

Cell: 5.163 5.163 6.949 Å, 97.04 97.04 40.01°
Fractional positions:
Ti 0.000 0.000 0.000
Ti 0.132 0.132 0.448
Ti 0.288 0.288 0.853
Ti 0.712 0.712 0.147
Ti 0.868 0.868 0.552
Ge 0.425 0.425 0.262
Ge 0.575 0.575 0.738
H 0.155 0.155 0.181
H 0.845 0.845 0.819